Here is a relaxed structure of Tl2H2F5 from the Alexandria database. Energies are from PBE.

Summary:
relative energy among the computed polymorphs = 0 meV/atom
density of states at the Fermi level = 0.000 states/eV/f.u.
theoretical density = 5.6 g/cm3
symmetry = No. 1
VASP energy = -4.052 eV/atom

POSCAR file:
```
Tl2H2F5
1.0
6.2893 0.0000 0.0000
0.3845 6.8867 0.0000
2.7214 0.8555 6.9874
Tl H F
4 4 10
Direct
0.0000 0.0000 0.0000
0.2426 0.1442 0.4352
0.4960 0.4483 0.8743
0.7458 0.6965 0.5611
0.1195 0.5713 0.2176
0.1211 0.5719 0.7173
0.6198 0.5732 0.2182
0.6215 0.0724 0.7177
0.0256 0.4933 0.3684
0.0277 0.7196 0.7084
0.2134 0.6495 0.0668
0.2146 0.4244 0.7263
0.3077 0.2099 0.0627
0.5007 0.9661 0.6957
0.6126 0.7025 0.3031
0.6272 0.4441 0.1335
0.7420 0.1785 0.7397
0.9354 0.9340 0.3723
```

---

Here is a relaxed structure of TlCuPdO2 from the Alexandria database. Energies are from PBE.

Summary:
density of states at the Fermi level = 2.543 states/eV/f.u.
theoretical density = 7.9 g/cm3
symmetry = No. 67
E_form (uncorrected) = -277 meV per atom
VASP energy = -4.592 eV/atom

POSCAR file:
```
TlCuPdO2
1.0
3.3834 -6.1424 0.0000
3.3834 6.1424 0.0000
0.0000 0.0000 4.1291
Tl Cu Pd O
2 2 2 4
Direct
0.2500 0.7500 0.7967
0.7500 0.2500 0.2033
0.0000 0.0000 0.0000
0.5000 0.5000 0.0000
0.2500 0.2500 0.5000
0.7500 0.7500 0.5000
0.0964 0.9036 0.3608
0.4036 0.5964 0.3608
0.5964 0.4036 0.6392
0.9036 0.0964 0.6392
```

---

Q: Which value of VASP energy does entry 1 give?
A: -4.052 eV/atom

---

Copy entry 2 word for word.
Here is a relaxed structure of TlCuPdO2 from the Alexandria database. Energies are from PBE.

Summary:
density of states at the Fermi level = 2.543 states/eV/f.u.
theoretical density = 7.9 g/cm3
symmetry = No. 67
E_form (uncorrected) = -277 meV per atom
VASP energy = -4.592 eV/atom

POSCAR file:
```
TlCuPdO2
1.0
3.3834 -6.1424 0.0000
3.3834 6.1424 0.0000
0.0000 0.0000 4.1291
Tl Cu Pd O
2 2 2 4
Direct
0.2500 0.7500 0.7967
0.7500 0.2500 0.2033
0.0000 0.0000 0.0000
0.5000 0.5000 0.0000
0.2500 0.2500 0.5000
0.7500 0.7500 0.5000
0.0964 0.9036 0.3608
0.4036 0.5964 0.3608
0.5964 0.4036 0.6392
0.9036 0.0964 0.6392
```

---

Repeat the first record exactly.
Here is a relaxed structure of Tl2H2F5 from the Alexandria database. Energies are from PBE.

Summary:
relative energy among the computed polymorphs = 0 meV/atom
density of states at the Fermi level = 0.000 states/eV/f.u.
theoretical density = 5.6 g/cm3
symmetry = No. 1
VASP energy = -4.052 eV/atom

POSCAR file:
```
Tl2H2F5
1.0
6.2893 0.0000 0.0000
0.3845 6.8867 0.0000
2.7214 0.8555 6.9874
Tl H F
4 4 10
Direct
0.0000 0.0000 0.0000
0.2426 0.1442 0.4352
0.4960 0.4483 0.8743
0.7458 0.6965 0.5611
0.1195 0.5713 0.2176
0.1211 0.5719 0.7173
0.6198 0.5732 0.2182
0.6215 0.0724 0.7177
0.0256 0.4933 0.3684
0.0277 0.7196 0.7084
0.2134 0.6495 0.0668
0.2146 0.4244 0.7263
0.3077 0.2099 0.0627
0.5007 0.9661 0.6957
0.6126 0.7025 0.3031
0.6272 0.4441 0.1335
0.7420 0.1785 0.7397
0.9354 0.9340 0.3723
```